# 1
! La2Be3Ni12Ir, optimized geometry, DFT GGA-PBE; values from VASP
! - Density of states at the Fermi level: 12.8 states/eV/f.u.
! - Total energy: -5.489 eV/atom
! - Crystal system: trigonal
&SYSTEM
  ibrav = 0, nat = 18, ntyp = 4
/
ATOMIC_SPECIES
Be 9.01 Be.upf
Ni 58.69 Ni.upf
La 138.91 La.upf
Ir 192.22 Ir.upf
CELL_PARAMETERS angstrom
8.9533 1.8605 1.3197
6.0394 6.8665 1.3197
6.0394 3.5155 6.0442
ATOMIC_POSITIONS angstrom
Be 3.0197 1.7577 3.0221
Be 4.4767 0.9303 0.6598
Be 3.0197 3.4332 0.6598
Ni 10.0729 4.4743 4.6453
Ni 4.8774 4.7262 1.3527
Ni 10.9593 6.3792 5.9965
Ni 10.9593 7.7682 4.0382
Ni 16.1548 9.4034 4.6702
Ni 10.0729 5.8633 2.6870
Ni 8.8651 6.5492 4.6453
Ni 6.5183 1.9071 1.3527
Ni 16.1548 7.5163 7.3308
Ni 4.8774 2.8391 4.0132
Ni 12.1671 5.6932 4.0382
Ni 14.5139 10.3354 7.3308
La 7.4312 4.3256 3.0681
La 13.6010 7.9169 5.6154
Ir 0.0000 0.0000 0.0000

---

# 2
! BeTc2, optimized geometry, DFT GGA-PBE; values from VASP
! - Density of states at the Fermi level: 3.1 states/eV/f.u.
! - E above lowest polymorph: 370 meV/atom
! - Crystal system: tetragonal
&SYSTEM
  ibrav = 0, nat = 12, ntyp = 2
/
ATOMIC_SPECIES
Be 9.01 Be.upf
Tc 98.00 Tc.upf
CELL_PARAMETERS angstrom
-7.9017 -6.5632 -4.4547
-3.3474 -9.1182 -5.5687
5.4373 6.5030 7.3145
ATOMIC_POSITIONS angstrom
Be -0.9191 -1.2812 -0.8189
Be -2.6864 -6.5091 -2.4518
Be -10.3300 -14.4002 -9.2045
Be -0.8482 -3.9467 -0.8140
Tc -6.6110 -9.2158 -5.8907
Tc -3.0580 -2.5753 -0.1970
Tc -2.7691 -3.8602 -2.4674
Tc 1.0018 -1.3677 0.8345
Tc -5.0309 -5.3256 -1.9549
Tc -4.6381 -6.4655 -4.1327
Tc -4.5364 -9.0881 -4.1003
Tc -8.4799 -11.8211 -7.5560

---

# 3
! Ti6Al16Rh7, optimized geometry, DFT GGA-PBE; values from VASP
! - Density of states at the Fermi level: 22.4 states/eV/f.u.
! - Total energy: -6.217 eV/atom
! - Crystal system: cubic
&SYSTEM
  ibrav = 0, nat = 29, ntyp = 3
/
ATOMIC_SPECIES
Al 26.98 Al.upf
Ti 47.87 Ti.upf
Rh 102.91 Rh.upf
CELL_PARAMETERS angstrom
8.5702 0.0000 0.0000
4.2851 7.4220 0.0000
4.2851 2.4740 6.9975
ATOMIC_POSITIONS angstrom
Al 5.8627 6.5111 4.6041
Al 4.2851 2.4740 4.4778
Al 6.5128 1.1878 0.8399
Al 8.5702 8.0743 2.3935
Al 8.5702 1.8217 4.6041
Al 2.0573 1.1878 0.8399
Al 15.0830 8.7082 6.1576
Al 5.8627 3.3849 2.3935
Al 12.8553 4.8496 6.1576
Al 8.5702 4.9480 6.8147
Al 12.8553 7.4220 2.5197
Al 11.2776 3.3849 2.3935
Al 4.2851 5.0464 0.8399
Al 11.2776 6.5111 4.6041
Al 10.6275 8.7082 6.1576
Al 8.5702 4.9480 0.1828
Ti 7.0411 5.8308 2.2503
Ti 10.0992 5.8308 2.2503
Ti 10.0992 4.0652 4.7472
Ti 8.5702 3.1824 2.2503
Ti 7.0411 4.0652 4.7472
Ti 8.5702 6.7136 4.7472
Rh 4.2851 4.9480 3.4988
Rh 6.4276 3.7110 0.0000
Rh 2.1425 1.2370 3.4988
Rh 0.0000 0.0000 0.0000
Rh 4.2851 0.0000 0.0000
Rh 6.4276 1.2370 3.4988
Rh 2.1425 3.7110 0.0000

---

# 4
! Ac2Tl5In, optimized geometry, DFT GGA-PBE; values from VASP
! - Density of states at the Fermi level: 5.1 states/eV/f.u.
! - Total energy: -3.161 eV/atom
! - Crystal system: orthorhombic
&SYSTEM
  ibrav = 0, nat = 16, ntyp = 3
/
ATOMIC_SPECIES
In 114.82 In.upf
Ac 227.00 Ac.upf
Tl 204.38 Tl.upf
CELL_PARAMETERS angstrom
4.9717 0.0000 0.0000
0.0000 7.0833 0.0000
0.0000 0.0000 14.1680
ATOMIC_POSITIONS angstrom
In 0.0000 0.0000 7.0840
In 0.0000 3.5417 0.0000
Ac 2.4859 1.7882 8.8524
Ac 2.4859 1.7534 1.7682
Ac 2.4859 5.3299 12.3998
Ac 2.4859 5.2950 5.3157
Tl 0.0000 0.0005 10.5989
Tl 2.4859 5.3469 8.8356
Tl 0.0000 0.0000 0.0000
Tl 0.0000 7.0828 3.5691
Tl 2.4859 1.7364 5.3324
Tl 0.0000 3.5421 10.6535
Tl 2.4859 5.2780 1.7514
Tl 0.0000 3.5412 3.5145
Tl 0.0000 3.5416 7.0840
Tl 2.4859 1.8053 12.4167

---

# 5
! TaSnTe2N, optimized geometry, DFT GGA-PBE; values from VASP
! - Density of states at the Fermi level: 2.1 states/eV/f.u.
! - E above lowest polymorph: 0 meV/atom
! - Crystal system: tetragonal
! - Formation energy (no corrections): -21 meV per atom
&SYSTEM
  ibrav = 0, nat = 5, ntyp = 4
/
ATOMIC_SPECIES
Sn 118.71 Sn.upf
Te 127.60 Te.upf
Ta 180.95 Ta.upf
N 14.01 N.upf
CELL_PARAMETERS angstrom
5.6416 0.0000 0.0000
0.0000 5.6416 0.0000
0.0000 0.0000 3.9290
ATOMIC_POSITIONS angstrom
Sn 2.8208 2.8208 1.9645
Te 2.8208 0.0000 0.0000
Te 0.0000 2.8208 0.0000
Ta 0.0000 0.0000 0.0000
N 0.0000 0.0000 1.9645

---

# 6
! Tm4Te3Se2, optimized geometry, DFT GGA-PBE; values from VASP
! - Density of states at the Fermi level: 2.8 states/eV/f.u.
! - Crystal system: monoclinic
! - Formation energy (no corrections): -1458 meV per atom
&SYSTEM
  ibrav = 0, nat = 9, ntyp = 3
/
ATOMIC_SPECIES
Se 78.96 Se.upf
Tm 168.93 Tm.upf
Te 127.60 Te.upf
CELL_PARAMETERS angstrom
3.9921 0.0000 0.0000
-1.9961 7.0519 0.1375
0.0000 -1.6882 8.9213
ATOMIC_POSITIONS angstrom
Se 1.9961 1.4738 7.2928
Se 0.0000 3.8900 1.7660
Tm 1.9961 5.5225 3.0140
Tm 1.9961 2.0894 1.0106
Tm 0.0000 3.2744 8.0482
Tm 0.0000 -0.1587 6.0447
Te 0.0000 0.0000 0.0000
Te 0.0000 4.6171 5.3651
Te 1.9961 0.7467 3.6936

---

# 7
! PmCuPd3, optimized geometry, DFT GGA-PBE; values from VASP
! - Density of states at the Fermi level: 2.0 states/eV/f.u.
! - Total energy: -5.368 eV/atom
! - Crystal system: orthorhombic
&SYSTEM
  ibrav = 0, nat = 10, ntyp = 3
/
ATOMIC_SPECIES
Pd 106.42 Pd.upf
Cu 63.55 Cu.upf
Pm 145.00 Pm.upf
CELL_PARAMETERS angstrom
5.3975 0.0000 0.0000
0.0000 8.8328 0.0000
-2.6987 -4.4164 3.8972
ATOMIC_POSITIONS angstrom
Pd -1.3494 2.2082 3.4794
Pd 1.3494 2.2082 3.4794
Pd 4.0481 2.2082 0.4179
Pd 2.6987 -1.5784 1.9486
Pd 0.0000 5.9948 1.9486
Pd 1.3494 2.2082 0.4179
Cu 2.6987 0.0000 0.0000
Cu 0.0000 4.4164 0.0000
Pm 2.6987 4.4023 1.9486
Pm 0.0000 0.0141 1.9486

---

# 8
! TlIn2GaF6, optimized geometry, DFT GGA-PBE; values from VASP
! - Density of states at the Fermi level: 0.0 states/eV/f.u.
! - Crystal system: triclinic
! - Formation energy (no corrections): -2111 meV per atom
&SYSTEM
  ibrav = 0, nat = 10, ntyp = 4
/
ATOMIC_SPECIES
F 19.00 F.upf
In 114.82 In.upf
Ga 69.72 Ga.upf
Tl 204.38 Tl.upf
CELL_PARAMETERS angstrom
-6.0004 -3.0583 -1.9912
-3.3841 -4.6800 3.9319
-5.6069 0.7012 2.6486
ATOMIC_POSITIONS angstrom
F -9.0406 -3.6395 3.6096
F -3.0792 -0.4803 0.5396
F -8.7517 -2.0401 1.4931
F -3.3674 -2.0797 2.6559
F -5.1623 -2.1204 0.6907
F -6.9572 -1.9991 3.4584
In -4.9885 -0.0281 2.1602
In -7.1283 -4.0905 1.9883
Ga -3.2563 -2.4108 0.7502
Tl -10.7506 -5.9290 3.0437

---

> Which value of density of states at the Fermi level does entry 1 give?

12.8 states/eV/f.u.

---

> What is the formula in the first record?

La2Be3Ni12Ir

---

> Among the records above, which one has the highest density of states at the Fermi level?

Ti6Al16Rh7

---

> Which of these has the lowest density of states at the Fermi level?

TlIn2GaF6